Record 1
First-principles (PBE) data for a relaxed structure of Y2AlSb, as listed in the Alexandria database.

The calculation puts the calculated volume at 111.2 Å³/f.u. The value obtained for the offset from the most stable computed form is 37.13 kJ/mol of atoms. For the raw formation energy, the calculation gives -0.37 eV/atom.

It has space group I-42d (No. 122), with a = 8.129 Å, b = 8.129 Å, c = 6.734 Å, α = 90.00°, β = 90.00° and γ = 90.00°. The distinct sites, in fractional coordinates, are Y at (0.248, 0.250, 0.125), Al at (0.000, 0.000, 0.000) and Sb at (0.000, 0.000, 0.500).

---

Record 2
First-principles (PBE) data for a relaxed structure of Tb2PmNd, as listed in the Alexandria database.

The calculation puts the calculated volume at 133.4 Å³/f.u. The value obtained for the offset from the most stable computed form is 0.47 kJ/mol of atoms.

It has space group P4/mmm (No. 123), with a = 3.615 Å, b = 3.615 Å, c = 10.208 Å, α = 90.00°, β = 90.00° and γ = 90.00°. The distinct sites, in fractional coordinates, are Tb at (0.000, 0.000, 0.249), Pm at (0.500, 0.500, 0.000) and Nd at (0.500, 0.500, 0.500).

---

Record 3
First-principles (PBE) data for a relaxed structure of NiSbPPd2, as listed in the Alexandria database.

The calculation puts the calculated volume at 122.0 Å³/f.u. For the raw formation energy, the calculation gives 1.09 eV/atom.

It has space group P4/mmm (No. 123), with a = 4.919 Å, b = 4.919 Å, c = 5.043 Å, α = 90.00°, β = 90.00° and γ = 90.00°. The distinct sites, in fractional coordinates, are Ni at (0.000, 0.000, 0.000), Sb at (0.500, 0.500, 0.500), P at (0.500, 0.500, 0.000) and Pd at (0.000, 0.500, 0.500).

---

Record 4
First-principles (PBE) data for a relaxed structure of KCu2Sn2, as listed in the Alexandria database.

The calculation puts the calculated volume at 120.3 Å³/f.u. The value obtained for the offset from the most stable computed form is 6.09 kJ/mol of atoms.

It has space group I4/mmm (No. 139), with a = 4.712 Å, b = 4.712 Å, c = 10.834 Å, α = 90.00°, β = 90.00° and γ = 90.00°. The distinct sites, in fractional coordinates, are K at (0.000, 0.000, 0.000), Cu at (0.000, 0.000, 0.377) and Sn at (0.000, 0.500, 0.250).

---

Record 5
First-principles (PBE) data for a relaxed structure of FeCuPt4, as listed in the Alexandria database.

The calculation puts the calculated volume at 99.9 Å³/f.u. The value obtained for the offset from the most stable computed form is 28.95 kJ/mol of atoms.

It has space group F-43m (No. 216), with a = 7.365 Å, b = 7.365 Å, c = 7.365 Å, α = 90.00°, β = 90.00° and γ = 90.00°. The distinct sites, in fractional coordinates, are Fe at (0.000, 0.000, 0.000), Cu at (0.250, 0.250, 0.250) and Pt at (0.125, 0.125, 0.625).

---

Record 6
First-principles (PBE) data for a relaxed structure of HfPa2NiN5, as listed in the Alexandria database.

The calculation puts the calculated volume at 109.9 Å³/f.u. For the raw formation energy, the calculation gives -1.22 eV/atom.

It has space group Cmc2_1 (No. 36), with a = 3.290 Å, b = 13.152 Å, c = 10.159 Å, α = 90.00°, β = 90.00° and γ = 90.00°. The distinct sites, in fractional coordinates, are Hf at (0.000, 0.194, 0.000), Pa at (0.000, 0.110, 0.678), Pa at (0.000, 0.136, 0.300), Ni at (0.000, 0.487, 0.467), N at (0.000, 0.043, 0.072), N at (0.000, 0.286, 0.656), N at (0.000, 0.311, 0.355), N at (0.000, 0.359, 0.997) and N at (0.000, 0.491, 0.777).

---

Record 7
First-principles (PBE) data for a relaxed structure of ReMoSe2, as listed in the Alexandria database.

The calculation puts the calculated volume at 69.6 Å³/f.u. The value obtained for the offset from the most stable computed form is 35.01 kJ/mol of atoms. For the raw formation energy, the calculation gives 0.29 eV/atom.

It has space group R-3m (No. 166, hexagonal axes), with a = 3.0847 Å, b = 3.0847 Å, c = 25.3365 Å, α = 90.00°, β = 90.00° and γ = 120.00°. The distinct sites, in fractional coordinates, are Re at (0.0000, 0.0000, 0.0000), Mo at (0.0000, 0.0000, 0.5000) and Se at (0.0000, 0.0000, 0.0947).